[1]
DFT (PBE) results for a geometry-optimized KSe2Br structure.

Lattice parameters (Å, degrees): 3.6957 5.8366 6.2521 90.00 90.00 90.00
Last column: nearest neighbours and their distance in Å.
Fractional coordinates of all 4 atoms:
K 0.0000 0.0000 0.0000  2 Br 3.13
Se 0.5000 0.5000 0.1794  1 Se 2.24
Se 0.5000 0.5000 0.8206  1 Se 2.24
Br 0.0000 0.0000 0.5000  2 K 3.13

Results
Raw total energy = -11.522 eV per cell
Formation energy from raw total energies = -0.446 eV/atom
Relative energy among the computed polymorphs = 243 meV per atom



[2]
DFT (PBE) results for a geometry-optimized CdCo2Si structure.

Lattice parameters (Å, degrees): 5.3644 5.3644 5.3644 104.32 104.32 120.36
Last column: nearest neighbours and their distance in Å.
Fractional coordinates of all 8 atoms:
Cd 0.0000 0.0000 0.0000  2 Si 2.67, 8 Co 2.68-2.89
Cd 0.7500 0.2500 0.5000  2 Si 2.67, 8 Co 2.68-2.89
Co 0.1799 0.6250 0.0549  2 Si 2.19
Co 0.3750 0.4299 0.5549  2 Si 2.19
Co 0.5701 0.1250 0.9451  2 Si 2.19
Co 0.8750 0.8201 0.4451  2 Si 2.19
Si 0.2500 0.7500 0.5000  4 Co 2.19
Si 0.5000 0.5000 0.0000  4 Co 2.19

Results
Raw total energy = -38.841 eV per cell
Formation energy from raw total energies = 0.282 eV/atom
Relative energy among the computed polymorphs = 493 meV per atom



[3]
DFT (PBE) results for a geometry-optimized BaLi2SiAu structure.

Lattice parameters (Å, degrees): 5.0682 5.0682 4.7695 90.00 90.00 90.00
Last column: nearest neighbours and their distance in Å.
Fractional coordinates of all 5 atoms:
Ba 0.0000 0.0000 0.0000  8 Li 3.48, 4 Si 3.58
Li 0.0000 0.5000 0.5000  2 Au 2.53
Li 0.5000 0.0000 0.5000  2 Au 2.53
Si 0.5000 0.5000 0.0000  2 Au 2.38
Au 0.5000 0.5000 0.5000  2 Si 2.38, 4 Li 2.53

Results
Raw total energy = -15.788 eV per cell
Formation energy from raw total energies = -0.267 eV/atom
Relative energy among the computed polymorphs = 29 meV per atom



[4]
DFT (PBE) results for a geometry-optimized CePr2Mg structure.

Lattice parameters (Å, degrees): 3.6210 3.6210 9.4646 90.00 90.00 90.00
Last column: nearest neighbours and their distance in Å.
Fractional coordinates of all 4 atoms:
Ce 0.0000 0.0000 0.0000  8 Pr 3.53, 4 Ce 3.62
Pr 0.5000 0.5000 0.2561  4 Mg 3.45, 4 Ce 3.53, 4 Pr 3.62
Pr 0.5000 0.5000 0.7439  4 Mg 3.45, 4 Ce 3.53, 4 Pr 3.62
Mg 0.0000 0.0000 0.5000  8 Pr 3.45, 4 Mg 3.62

Results
Raw total energy = -17.095 eV per cell
Relative energy among the computed polymorphs = 0 meV per atom
E_form = -0.0020 eV per atom



[5]
DFT (PBE) results for a geometry-optimized Ca2LaGd structure.

Lattice parameters (Å, degrees): 5.9798 5.9798 5.9798 60.00 60.00 60.00
Last column: nearest neighbours and their distance in Å.
Fractional coordinates of all 4 atoms:
Ca 0.2500 0.2500 0.2500  4 Gd 3.66, 4 La 3.66
Ca 0.7500 0.7500 0.7500  4 Gd 3.66, 4 La 3.66
La 0.0000 0.0000 0.0000  8 Ca 3.66
Gd 0.5000 0.5000 0.5000  8 Ca 3.66

Results
Raw total energy = -22.483 eV per cell
Relative energy among the computed polymorphs = 5 meV per atom
E_form = 0.1321 eV per atom



[6]
DFT (PBE) results for a geometry-optimized YThHg5 structure.

Lattice parameters (Å, degrees): 5.0815 5.0815 7.2809 90.00 90.00 90.00
Last column: nearest neighbours and their distance in Å.
Fractional coordinates of all 7 atoms:
Y 0.0000 0.0000 0.0000  8 Hg 3.03
Th 0.5000 0.5000 0.5000  12 Hg 3.22-3.59
Hg 0.0000 0.0000 0.5000  8 Hg 3.22, 4 Th 3.59
Hg 0.0000 0.5000 0.2277  2 Y 3.03, 3 Hg 3.22-3.32, 2 Th 3.22
Hg 0.0000 0.5000 0.7723  2 Y 3.03, 3 Hg 3.22-3.32, 2 Th 3.22
Hg 0.5000 0.0000 0.2277  2 Y 3.03, 3 Hg 3.22-3.32, 2 Th 3.22
Hg 0.5000 0.0000 0.7723  2 Y 3.03, 3 Hg 3.22-3.32, 2 Th 3.22

Results
Raw total energy = -16.686 eV per cell
E_form = -0.1848 eV per atom